a:
DFT (PBE) results for an optimized crystal structure of PuMgH.

The value obtained for the spin magnetization is 1.8677 μB/atom. As for the symmetry: P3m1 (156).

a = 3.207 Å, b = 3.207 Å, c = 5.787 Å
α = 90.00°, β = 90.00°, γ = 120.00°
Site moments in Bohr magnetons follow the coordinates.
Element x y z (fractional)
H: 0.333 0.667 0.658  -0.02
Mg: 0.000 0.000 0.919  -0.01
Pu: 0.667 0.333 0.423  5.31

---

b:
DFT (PBE) results for an optimized crystal structure of PuMgH.

The value obtained for the spin magnetization is 0.1817 μB/atom. As for the symmetry: R-3m (166).

a = 3.435 Å, b = 3.435 Å, c = 9.339 Å
α = 79.40°, β = 79.40°, γ = 60.00°
Site moments in Bohr magnetons follow the coordinates.
Element x y z (fractional)
H: 0.243 0.243 0.271  0.00
H: 0.757 0.757 0.729  0.00
Mg: 0.380 0.380 0.860  0.00
Mg: 0.620 0.620 0.140  0.00
Pu: 0.857 0.857 0.430  0.52
Pu: 0.143 0.143 0.570  0.52

---

Stability check: which of them is least stable? b.

---

a:
DFT (PBE) results for an optimized crystal structure of Rb2Mg2H.

The value obtained for the spin magnetization is 0.0000 μB/atom. As for the symmetry: P4/mbm (127).

a = 7.693 Å, b = 7.693 Å, c = 6.376 Å
α = 90.00°, β = 90.00°, γ = 90.00°
Element x y z (fractional)
H: 0.000 0.000 0.000
H: 0.500 0.500 0.000
Mg: 0.351 0.851 0.000
Mg: 0.851 0.649 0.000
Mg: 0.649 0.149 0.000
Mg: 0.149 0.351 0.000
Rb: 0.177 0.677 0.500
Rb: 0.677 0.823 0.500
Rb: 0.823 0.323 0.500
Rb: 0.323 0.177 0.500

---

b:
DFT (PBE) results for an optimized crystal structure of Rb2Mg2H.

The value obtained for the spin magnetization is 0.0001 μB/atom. As for the symmetry: P4/mmm (123).

a = 5.759 Å, b = 5.759 Å, c = 5.162 Å
α = 90.00°, β = 90.00°, γ = 90.00°
Element x y z (fractional)
H: 0.000 0.000 0.000
Mg: 0.500 0.500 0.500
Mg: 0.000 0.000 0.500
Rb: 0.000 0.500 0.000
Rb: 0.500 0.000 0.000

---

c:
DFT (PBE) results for an optimized crystal structure of Rb2Mg2H.

The value obtained for the spin magnetization is 0.0000 μB/atom. As for the symmetry: I4/mmm (139).

a = 7.625 Å, b = 7.625 Å, c = 6.531 Å
α = 54.28°, β = 54.28°, γ = 90.00°
Element x y z (fractional)
H: 0.000 0.000 0.000
Mg: 0.277 0.277 0.446
Mg: 0.723 0.723 0.554
Rb: 0.750 0.250 0.500
Rb: 0.250 0.750 0.500

---

Stability check: which of them is least stable? a.

---

a:
DFT (PBE) results for an optimized crystal structure of RbMg2H6.

The value obtained for the spin magnetization is 0.0000 μB/atom. As for the symmetry: Fm-3m (225).

a = 5.547 Å, b = 5.547 Å, c = 5.547 Å
α = 60.00°, β = 60.00°, γ = 60.00°
Element x y z (fractional)
Rb: 0.000 0.000 0.000
Mg: 0.750 0.750 0.750
Mg: 0.250 0.250 0.250
H: 0.380 0.620 0.620
H: 0.620 0.620 0.380
H: 0.620 0.380 0.620
H: 0.620 0.380 0.380
H: 0.380 0.380 0.620
H: 0.380 0.620 0.380

---

b:
DFT (PBE) results for an optimized crystal structure of RbMg2H6.

The value obtained for the spin magnetization is 0.1104 μB/atom. As for the symmetry: C2/m (12).

a = 3.945 Å, b = 5.093 Å, c = 7.861 Å
α = 70.93°, β = 75.47°, γ = 67.22°
Site moments in Bohr magnetons follow the coordinates.
Element x y z (fractional)
Rb: 0.000 0.500 0.500  0.01
Mg: 0.177 0.737 0.909  0.00
Mg: 0.823 0.263 0.091  0.00
H: 0.693 0.670 0.945  0.02
H: 0.307 0.330 0.055  0.02
H: 0.008 0.842 0.142  0.13
H: 0.273 0.793 0.660  0.07
H: 0.992 0.158 0.858  0.13
H: 0.727 0.207 0.340  0.07

---

Stability check: which of them is least stable? a.

---

a:
DFT (PBE) results for an optimized crystal structure of Mg3ReH.

The value obtained for the spin magnetization is 0.5189 μB/atom. As for the symmetry: Pm-3m (221).

a = 5.226 Å, b = 5.226 Å, c = 5.226 Å
α = 90.00°, β = 90.00°, γ = 90.00°
Site moments in Bohr magnetons follow the coordinates.
Element x y z (fractional)
Re: 0.000 0.000 0.000  1.52
Mg: 0.000 0.500 0.000  0.01
Mg: 0.000 0.000 0.500  -0.01
Mg: 0.500 0.000 0.000  0.02
H: 0.500 0.500 0.500  0.25

---

b:
DFT (PBE) results for an optimized crystal structure of Mg3ReH.

The value obtained for the spin magnetization is 0.0000 μB/atom. As for the symmetry: Pm-3m (221).

a = 4.142 Å, b = 4.142 Å, c = 4.142 Å
α = 90.00°, β = 90.00°, γ = 90.00°
Element x y z (fractional)
Re: 0.500 0.500 0.500
Mg: 0.000 0.500 0.000
Mg: 0.000 0.000 0.500
Mg: 0.500 0.000 0.000
H: 0.000 0.000 0.000

---

Stability check: which of them is least stable? a.

---

a:
DFT (PBE) results for an optimized crystal structure of Mg2ReH.

The value obtained for the spin magnetization is 0.4919 μB/atom. As for the symmetry: Fm-3m (225).

a = 4.512 Å, b = 4.512 Å, c = 4.512 Å
α = 60.00°, β = 60.00°, γ = 60.00°
Site moments in Bohr magnetons follow the coordinates.
Element x y z (fractional)
Re: 0.500 0.500 0.500  1.67
Mg: 0.250 0.250 0.250  -0.02
Mg: 0.750 0.750 0.750  -0.02
H: 0.000 0.000 0.000  0.02

---

b:
DFT (PBE) results for an optimized crystal structure of Mg2ReH.

The value obtained for the spin magnetization is 0.0000 μB/atom. As for the symmetry: I-42d (122).

a = 5.562 Å, b = 5.562 Å, c = 5.332 Å
α = 58.56°, β = 58.56°, γ = 90.00°
Element x y z (fractional)
Re: 0.000 0.000 0.000
Re: 0.750 0.250 0.500
Mg: 0.482 0.125 0.250
Mg: 0.268 0.625 0.250
Mg: 0.375 0.518 0.750
Mg: 0.875 0.732 0.750
H: 0.500 0.500 0.000
H: 0.250 0.750 0.500

---

Stability check: which of them is least stable? a.

---

a:
DFT (PBE) results for an optimized crystal structure of MgReH3.

The value obtained for the spin magnetization is 0.0000 μB/atom. As for the symmetry: Pm-3m (221).

a = 3.518 Å, b = 3.518 Å, c = 3.518 Å
α = 90.00°, β = 90.00°, γ = 90.00°
Element x y z (fractional)
Re: 0.000 0.000 0.000
Mg: 0.500 0.500 0.500
H: 0.000 0.500 0.000
H: 0.000 0.000 0.500
H: 0.500 0.000 0.000

---

b:
DFT (PBE) results for an optimized crystal structure of MgReH3.

The value obtained for the spin magnetization is 0.0000 μB/atom. As for the symmetry: Pm-3m (221).

a = 3.406 Å, b = 3.406 Å, c = 3.406 Å
α = 90.00°, β = 90.00°, γ = 90.00°
Element x y z (fractional)
Re: 0.500 0.500 0.500
Mg: 0.000 0.000 0.000
H: 0.000 0.500 0.000
H: 0.000 0.000 0.500
H: 0.500 0.000 0.000

---

Stability check: which of them is least stable? b.